[1]
CsVS3 PBE relaxed; E above lowest polymorph = 0.221 eV per atom; energy relative to the elements, uncorrected = -74 kJ/mol of atoms
1.0
4.060 0.000 3.051
-2.030 3.516 3.051
-2.030 -3.516 3.051
S Cs V
3 1 1
direct
0.589 0.589 0.104
0.589 0.104 0.589
0.104 0.589 0.589
0.077 0.077 0.077
0.516 0.516 0.516



[2]
DyPaRe PBE relaxed; E above lowest polymorph = 0.022 eV per atom
1.0
3.480 0.000 0.000
0.000 3.480 0.000
-1.740 -1.740 5.671
Pa Re Dy
1 1 1
direct
0.693 0.693 0.387
0.315 0.315 0.630
0.992 0.992 0.983



[3]
PaTlTe2 PBE relaxed; energy relative to the elements, uncorrected = -59 kJ/mol of atoms
1.0
4.197 0.002 0.001
2.096 3.636 0.001
0.000 -0.001 9.023
Te Pa Tl
2 1 1
direct
0.007 0.440 0.205
0.340 0.773 0.635
0.674 0.107 0.420
0.674 0.106 0.920



[4]
Pm2Ge2BIr2 PBE relaxed; energy = -7.003 eV per atom
1.0
-2.607 -2.981 -1.507
2.661 -5.409 0.141
-2.472 -3.152 4.555
B Ir Pm Ge
1 2 2 2
direct
0.000 0.000 0.000
0.203 0.685 0.909
0.797 0.315 0.091
0.563 0.174 0.699
0.437 0.826 0.301
0.840 0.623 0.697
0.160 0.377 0.303



[5]
Ag12Sb3Br5 PBE relaxed; energy relative to the elements, uncorrected = -4 kJ/mol of atoms
1.0
14.127 0.000 0.000
-4.709 13.319 0.000
-4.709 -6.659 11.535
Sb Ag Br
12 48 20
direct
0.625 0.375 0.750
0.750 0.875 0.625
0.125 0.250 0.875
0.875 0.125 0.250
0.250 0.625 0.875
0.750 0.375 0.125
0.125 0.875 0.750
0.875 0.750 0.125
0.625 0.250 0.375
0.250 0.125 0.375
0.375 0.750 0.625
0.375 0.625 0.250
0.429 0.761 0.856
0.739 0.595 0.168
0.261 0.405 0.832
0.071 0.644 0.739
0.144 0.739 0.571
0.095 0.168 0.239
0.832 0.905 0.261
0.427 0.071 0.332
0.573 0.929 0.668
0.571 0.332 0.927
0.856 0.595 0.927
0.668 0.239 0.595
0.405 0.144 0.573
0.239 0.571 0.644
0.261 0.856 0.929
0.073 0.905 0.144
0.595 0.739 0.668
0.332 0.571 0.427
0.644 0.573 0.905
0.239 0.668 0.095
0.356 0.929 0.761
0.668 0.429 0.573
0.168 0.073 0.929
0.644 0.071 0.239
0.927 0.095 0.856
0.429 0.668 0.073
0.856 0.261 0.429
0.905 0.073 0.644
0.832 0.927 0.071
0.929 0.356 0.261
0.332 0.761 0.405
0.761 0.332 0.905
0.595 0.856 0.427
0.905 0.832 0.761
0.571 0.239 0.144
0.739 0.144 0.071
0.927 0.832 0.571
0.071 0.427 0.832
0.168 0.095 0.739
0.095 0.927 0.356
0.073 0.168 0.429
0.761 0.429 0.356
0.356 0.427 0.095
0.427 0.356 0.595
0.573 0.644 0.405
0.405 0.261 0.332
0.144 0.405 0.073
0.929 0.573 0.168
0.000 0.500 0.000
0.750 0.125 0.875
0.500 0.000 0.000
0.000 0.000 0.000
0.625 0.750 0.875
0.375 0.125 0.750
0.625 0.875 0.250
0.375 0.250 0.125
0.125 0.750 0.375
0.875 0.625 0.750
0.875 0.250 0.625
0.500 0.500 0.000
0.125 0.375 0.250
0.500 0.500 0.500
0.750 0.625 0.375
0.000 0.500 0.500
0.500 0.000 0.500
0.250 0.875 0.125
0.250 0.375 0.625
0.000 0.000 0.500



[6]
La3Pm2Sc PBE relaxed; E above lowest polymorph = 0.000 eV per atom
1.0
6.124 -0.535 -1.435
-1.507 12.218 -1.755
-1.892 -0.462 6.006
Pm Sc La
4 2 6
direct
0.585 0.118 0.912
0.088 0.882 0.415
0.415 0.882 0.088
0.912 0.118 0.585
0.762 0.883 0.761
0.238 0.117 0.239
0.742 0.370 0.413
0.413 0.370 0.742
0.085 0.373 0.085
0.587 0.630 0.258
0.258 0.630 0.587
0.915 0.627 0.915



[7]
MgRu2Se PBE relaxed; E above lowest polymorph = 0.228 eV per atom; energy relative to the elements, uncorrected = 25 kJ/mol of atoms
1.0
-3.008 0.619 0.629
-1.299 -3.370 -2.899
0.095 -2.805 3.218
Ru Se Mg
2 1 1
direct
0.000 0.000 0.000
0.500 0.500 0.000
0.500 0.000 0.500
0.000 0.500 0.500



[8]
Sm5Ho3Se8 PBE relaxed; energy relative to the elements, uncorrected = -171 kJ/mol of atoms
1.0
-6.281 -2.274 4.818
1.461 -2.976 7.540
-1.931 4.535 6.663
Se Ho Sm
8 3 5
direct
0.754 0.754 0.738
0.242 0.750 0.258
0.246 0.246 0.262
0.758 0.250 0.742
0.750 0.242 0.258
0.250 0.758 0.742
0.250 0.250 0.742
0.750 0.750 0.258
0.500 0.000 0.500
0.000 0.500 0.500
0.000 0.000 0.500
0.500 0.500 0.000
0.000 0.500 0.000
0.000 0.000 0.000
0.500 0.500 0.500
0.500 0.000 0.000



In the order shown, the computed volume values come out to 130.7 68.7 137.7 133.0 2170.3 403.6 62.0 398.8 Å³ per cell.
In the order shown, the computed spin magnetization values come out to 0.00 0.00 1.54 0.00 0.00 0.00 0.00 0.00 Bohr magnetons per cell.